<i>
VASP calculation (PBE-GGA) on a relaxed TlSeBrN2 crystal.

## Properties
Size of the total moment   3.79 Bohr magnetons per cell
Space-group type   No. 123
DOS at the Fermi energy   2.64 states/eV/cell

a = 4.409 Å, b = 6.080 Å, c = 4.409 Å
α = 90.00°, β = 90.00°, γ = 90.00°
Last column: magnetic moment on the atom in μB.
Sites, in units of the cell vectors:
Tl 0.000 0.000 0.000  0.00
N 0.500 0.000 0.000  1.27
N 0.000 0.000 0.500  1.19
Se 0.000 0.500 0.000  0.09
Br 0.500 0.500 0.500  0.05



<ii>
VASP calculation (PBE-GGA) on a relaxed TlSeBrN2 crystal.

## Properties
Size of the total moment   2.94 Bohr magnetons per cell
Space-group type   No. 123
DOS at the Fermi energy   3.33 states/eV/cell

a = 4.421 Å, b = 4.421 Å, c = 5.443 Å
α = 90.00°, β = 90.00°, γ = 90.00°
Last column: magnetic moment on the atom in μB.
Sites, in units of the cell vectors:
Tl 0.500 0.500 0.500  0.01
N 0.500 0.000 0.000  0.95
Br 0.000 0.000 0.000  -0.01
N 0.000 0.500 0.000  0.95
Se 0.000 0.000 0.500  0.12



Here are the energies relative to the best structure, in meV/atom: <i> 0; <ii> 93.



<i>
VASP calculation (PBE-GGA) on a relaxed YSeBr2N crystal.

## Properties
Size of the total moment   4.01 Bohr magnetons per cell
Space-group type   No. 123
DOS at the Fermi energy   3.76 states/eV/cell

a = 5.619 Å, b = 5.619 Å, c = 5.617 Å
α = 90.00°, β = 90.00°, γ = 90.00°
Last column: magnetic moment on the atom in μB.
Sites, in units of the cell vectors:
N 0.500 0.500 0.500  1.93
Se 0.000 0.000 0.500  0.52
Br 0.000 0.500 0.000  0.08
Br 0.500 0.000 0.000  0.08
Y 0.000 0.000 0.000  -0.02



<ii>
VASP calculation (PBE-GGA) on a relaxed YSeBr2N crystal.

## Properties
Size of the total moment   0.48 Bohr magnetons per cell
Space-group type   No. 123
DOS at the Fermi energy   2.37 states/eV/cell

a = 4.696 Å, b = 4.696 Å, c = 4.659 Å
α = 90.00°, β = 90.00°, γ = 90.00°
Last column: magnetic moment on the atom in μB.
Sites, in units of the cell vectors:
N 0.000 0.000 0.000  0.25
Y 0.500 0.500 0.500  0.00
Se 0.000 0.000 0.500  0.00
Br 0.000 0.500 0.000  0.06
Br 0.500 0.000 0.000  0.06



Here are the energies relative to the best structure, in meV/atom: <i> 0; <ii> 93.



<i>
VASP calculation (PBE-GGA) on a relaxed ZnSeBrN2 crystal.

## Properties
Size of the total moment   0.80 Bohr magnetons per cell
Space-group type   No. 123
DOS at the Fermi energy   2.41 states/eV/cell

a = 3.781 Å, b = 3.781 Å, c = 7.952 Å
α = 90.00°, β = 90.00°, γ = 90.00°
Last column: magnetic moment on the atom in μB.
Sites, in units of the cell vectors:
Se 0.000 0.000 0.500  0.00
Zn 0.500 0.500 0.500  0.00
N 0.500 0.000 0.000  0.29
N 0.000 0.500 0.000  0.29
Br 0.000 0.000 0.000  -0.01



<ii>
VASP calculation (PBE-GGA) on a relaxed ZnSeBrN2 crystal.

## Properties
Size of the total moment   3.96 Bohr magnetons per cell
Space-group type   No. 123
DOS at the Fermi energy   2.83 states/eV/cell

a = 3.997 Å, b = 3.997 Å, c = 5.986 Å
α = 90.00°, β = 90.00°, γ = 90.00°
Last column: magnetic moment on the atom in μB.
Sites, in units of the cell vectors:
N 0.500 0.000 0.000  1.24
Se 0.000 0.000 0.500  0.15
Br 0.500 0.500 0.500  0.05
Zn 0.000 0.000 0.000  0.04
N 0.000 0.500 0.000  1.24



Here are the energies relative to the best structure, in meV/atom: <i> 365; <ii> 0.



<i>
VASP calculation (PBE-GGA) on a relaxed ZnSe2BrN crystal.

## Properties
Size of the total moment   0.00 Bohr magnetons per cell
Space-group type   No. 123
DOS at the Fermi energy   3.43 states/eV/cell

a = 4.526 Å, b = 4.526 Å, c = 4.504 Å
α = 90.00°, β = 90.00°, γ = 90.00°
Sites, in units of the cell vectors:
Se 0.500 0.000 0.000
Zn 0.500 0.500 0.500
Se 0.000 0.500 0.000
N 0.000 0.000 0.000
Br 0.000 0.000 0.500



<ii>
VASP calculation (PBE-GGA) on a relaxed ZnSe2BrN crystal.

## Properties
Size of the total moment   0.00 Bohr magnetons per cell
Space-group type   No. 123
DOS at the Fermi energy   6.55 states/eV/cell

a = 5.274 Å, b = 5.274 Å, c = 3.662 Å
α = 90.00°, β = 90.00°, γ = 90.00°
Sites, in units of the cell vectors:
N 0.000 0.000 0.500
Br 0.500 0.500 0.500
Se 0.000 0.500 0.000
Se 0.500 0.000 0.000
Zn 0.000 0.000 0.000



Here are the energies relative to the best structure, in meV/atom: <i> 0; <ii> 139.



<i>
VASP calculation (PBE-GGA) on a relaxed ZnSe2BrN crystal.

## Properties
Size of the total moment   0.00 Bohr magnetons per cell
Space-group type   No. 123
DOS at the Fermi energy   4.59 states/eV/cell

a = 5.327 Å, b = 5.327 Å, c = 3.750 Å
α = 90.00°, β = 90.00°, γ = 90.00°
Sites, in units of the cell vectors:
Se 0.500 0.000 0.000
Se 0.000 0.500 0.000
N 0.000 0.000 0.500
Br 0.000 0.000 0.000
Zn 0.500 0.500 0.500



<ii>
VASP calculation (PBE-GGA) on a relaxed ZnSe2BrN crystal.

## Properties
Size of the total moment   5.05 Bohr magnetons per cell
Space-group type   No. 123
DOS at the Fermi energy   4.14 states/eV/cell

a = 4.984 Å, b = 4.984 Å, c = 5.448 Å
α = 90.00°, β = 90.00°, γ = 90.00°
Last column: magnetic moment on the atom in μB.
Sites, in units of the cell vectors:
N 0.500 0.500 0.500  1.89
Zn 0.000 0.000 0.000  0.00
Se 0.000 0.500 0.000  0.57
Se 0.500 0.000 0.000  0.57
Br 0.000 0.000 0.500  0.32



Here are the energies relative to the best structure, in meV/atom: <i> 136; <ii> 0.



<i>
VASP calculation (PBE-GGA) on a relaxed ZnSeBr2N crystal.

## Properties
Size of the total moment   5.02 Bohr magnetons per cell
Space-group type   No. 123
DOS at the Fermi energy   2.90 states/eV/cell

a = 5.294 Å, b = 5.294 Å, c = 5.068 Å
α = 90.00°, β = 90.00°, γ = 90.00°
Last column: magnetic moment on the atom in μB.
Sites, in units of the cell vectors:
Zn 0.000 0.000 0.000  0.00
Se 0.000 0.000 0.500  0.92
N 0.500 0.500 0.500  1.91
Br 0.500 0.000 0.000  0.26
Br 0.000 0.500 0.000  0.26



<ii>
VASP calculation (PBE-GGA) on a relaxed ZnSeBr2N crystal.

## Properties
Size of the total moment   0.00 Bohr magnetons per cell
Space-group type   No. 123
DOS at the Fermi energy   2.41 states/eV/cell

a = 4.550 Å, b = 4.550 Å, c = 4.775 Å
α = 90.00°, β = 90.00°, γ = 90.00°
Sites, in units of the cell vectors:
N 0.000 0.000 0.000
Br 0.000 0.500 0.000
Br 0.500 0.000 0.000
Se 0.000 0.000 0.500
Zn 0.500 0.500 0.500



Here are the energies relative to the best structure, in meV/atom: <i> 131; <ii> 0.



<i>
VASP calculation (PBE-GGA) on a relaxed ZrSeBr2N crystal.

## Properties
Size of the total moment   0.01 Bohr magnetons per cell
Space-group type   No. 123
DOS at the Fermi energy   5.07 states/eV/cell

a = 4.584 Å, b = 4.584 Å, c = 4.546 Å
α = 90.00°, β = 90.00°, γ = 90.00°
Sites, in units of the cell vectors:
Br 0.000 0.500 0.000
N 0.000 0.000 0.000
Se 0.000 0.000 0.500
Br 0.500 0.000 0.000
Zr 0.500 0.500 0.500



<ii>
VASP calculation (PBE-GGA) on a relaxed ZrSeBr2N crystal.

## Properties
Size of the total moment   3.00 Bohr magnetons per cell
Space-group type   No. 123

a = 5.435 Å, b = 5.435 Å, c = 5.140 Å
α = 90.00°, β = 90.00°, γ = 90.00°
Last column: magnetic moment on the atom in μB.
Sites, in units of the cell vectors:
N 0.500 0.500 0.500  1.92
Se 0.000 0.000 0.500  0.02
Br 0.000 0.500 0.000  0.02
Br 0.500 0.000 0.000  0.02
Zr 0.000 0.000 0.000  0.02



Here are the energies relative to the best structure, in meV/atom: <i> 545; <ii> 0.



<i>
VASP calculation (PBE-GGA) on a relaxed SiBrN2 crystal.

## Properties
Size of the total moment   0.00 Bohr magnetons per cell
Space-group type   No. 166
DOS at the Fermi energy   3.26 states/eV/cell

a = 5.938 Å, b = 5.938 Å, c = 5.938 Å
α = 38.42°, β = 38.42°, γ = 38.42°
Sites, in units of the cell vectors:
Br 0.500 0.500 0.500
Si 0.000 0.000 0.000
N 0.899 0.899 0.899
N 0.101 0.101 0.101



<ii>
VASP calculation (PBE-GGA) on a relaxed SiBrN2 crystal.

## Properties
Size of the total moment   0.00 Bohr magnetons per cell
Space-group type   No. 225
DOS at the Fermi energy   1.72 states/eV/cell

a = 4.037 Å, b = 4.037 Å, c = 4.037 Å
α = 60.00°, β = 60.00°, γ = 60.00°
Sites, in units of the cell vectors:
N 0.750 0.750 0.750
N 0.250 0.250 0.250
Br 0.500 0.500 0.500
Si 0.000 0.000 0.000



<iii>
VASP calculation (PBE-GGA) on a relaxed SiBrN2 crystal.

## Properties
Size of the total moment   0.00 Bohr magnetons per cell
Space-group type   No. 166
DOS at the Fermi energy   1.78 states/eV/cell

a = 6.293 Å, b = 6.293 Å, c = 6.293 Å
α = 27.01°, β = 27.01°, γ = 27.01°
Sites, in units of the cell vectors:
Si 0.500 0.500 0.500
Br 0.000 0.000 0.000
N 0.115 0.115 0.115
N 0.885 0.885 0.885



Here are the energies relative to the best structure, in meV/atom: <i> 1373; <ii> 2013; <iii> 0.



<i>
VASP calculation (PBE-GGA) on a relaxed SiTe2BrN crystal.

## Properties
Size of the total moment   0.00 Bohr magnetons per cell
Space-group type   No. 123
DOS at the Fermi energy   2.88 states/eV/cell

a = 5.860 Å, b = 5.860 Å, c = 3.667 Å
α = 90.00°, β = 90.00°, γ = 90.00°
Sites, in units of the cell vectors:
Si 0.500 0.500 0.500
Br 0.000 0.000 0.000
Te 0.500 0.000 0.000
Te 0.000 0.500 0.000
N 0.000 0.000 0.500



<ii>
VASP calculation (PBE-GGA) on a relaxed SiTe2BrN crystal.

## Properties
Size of the total moment   0.00 Bohr magnetons per cell
Space-group type   No. 123
DOS at the Fermi energy   3.94 states/eV/cell

a = 5.820 Å, b = 5.820 Å, c = 3.289 Å
α = 90.00°, β = 90.00°, γ = 90.00°
Sites, in units of the cell vectors:
Si 0.000 0.000 0.000
Te 0.500 0.000 0.000
N 0.000 0.000 0.500
Br 0.500 0.500 0.500
Te 0.000 0.500 0.000



Here are the energies relative to the best structure, in meV/atom: <i> 1202; <ii> 0.



<i>
VASP calculation (PBE-GGA) on a relaxed Sn2BrN crystal.

## Properties
Size of the total moment   0.00 Bohr magnetons per cell
Space-group type   No. 225
DOS at the Fermi energy   2.10 states/eV/cell

a = 4.968 Å, b = 4.968 Å, c = 4.968 Å
α = 60.00°, β = 60.00°, γ = 60.00°
Sites, in units of the cell vectors:
Br 0.500 0.500 0.500
N 0.000 0.000 0.000
Sn 0.750 0.750 0.750
Sn 0.250 0.250 0.250



<ii>
VASP calculation (PBE-GGA) on a relaxed Sn2BrN crystal.

## Properties
Size of the total moment   0.00 Bohr magnetons per cell
Space-group type   No. 122
DOS at the Fermi energy   0.18 states/eV/cell

a = 7.304 Å, b = 7.304 Å, c = 6.329 Å
α = 54.75°, β = 54.75°, γ = 90.00°
Sites, in units of the cell vectors:
Sn 0.231 0.625 0.250
N 0.250 0.750 0.500
Sn 0.875 0.769 0.750
Br 0.750 0.250 0.500
Br 0.000 0.000 0.000
Sn 0.375 0.481 0.750
Sn 0.519 0.125 0.250
N 0.500 0.500 0.000



Here are the energies relative to the best structure, in meV/atom: <i> 709; <ii> 0.



<i>
VASP calculation (PBE-GGA) on a relaxed SrBrN2 crystal.

## Properties
Size of the total moment   0.36 Bohr magnetons per cell
Space-group type   No. 166
DOS at the Fermi energy   1.51 states/eV/cell

a = 7.344 Å, b = 7.344 Å, c = 7.344 Å
α = 27.53°, β = 27.53°, γ = 27.53°
Last column: magnetic moment on the atom in μB.
Sites, in units of the cell vectors:
N 0.884 0.884 0.884  0.01
Sr 0.000 0.000 0.000  0.12
N 0.116 0.116 0.116  0.01
Br 0.500 0.500 0.500  0.00



<ii>
VASP calculation (PBE-GGA) on a relaxed SrBrN2 crystal.

## Properties
Size of the total moment   0.00 Bohr magnetons per cell
Space-group type   No. 225
DOS at the Fermi energy   3.14 states/eV/cell

a = 4.493 Å, b = 4.493 Å, c = 4.493 Å
α = 60.00°, β = 60.00°, γ = 60.00°
Sites, in units of the cell vectors:
Sr 0.500 0.500 0.500
Br 0.000 0.000 0.000
N 0.750 0.750 0.750
N 0.250 0.250 0.250



Here are the energies relative to the best structure, in meV/atom: <i> 422; <ii> 0.



<i>
VASP calculation (PBE-GGA) on a relaxed Sr3BrN crystal.

## Properties
Size of the total moment   0.00 Bohr magnetons per cell
Space-group type   No. 221
DOS at the Fermi energy   2.76 states/eV/cell

a = 5.343 Å, b = 5.343 Å, c = 5.343 Å
α = 90.00°, β = 90.00°, γ = 90.00°
Sites, in units of the cell vectors:
Sr 0.000 0.000 0.500
Sr 0.000 0.500 0.000
N 0.000 0.000 0.000
Sr 0.500 0.000 0.000
Br 0.500 0.500 0.500



<ii>
VASP calculation (PBE-GGA) on a relaxed Sr3BrN crystal.

## Properties
Size of the total moment   0.00 Bohr magnetons per cell
Space-group type   No. 2
DOS at the Fermi energy   3.35 states/eV/cell

a = 8.294 Å, b = 7.939 Å, c = 9.227 Å
α = 51.62°, β = 44.93°, γ = 59.16°
Sites, in units of the cell vectors:
Sr 0.391 0.386 0.234
Sr 0.317 0.909 0.380
Br 0.806 0.736 0.812
N 0.688 0.065 0.126
Br 0.571 0.394 0.440
N 0.188 0.065 0.626
Sr 0.060 0.221 0.872
Sr 0.758 0.218 0.742
Sr 0.986 0.744 0.019
Sr 0.618 0.912 0.510



Here are the energies relative to the best structure, in meV/atom: <i> 265; <ii> 0.



<i>
VASP calculation (PBE-GGA) on a relaxed SrBr3N crystal.

## Properties
Size of the total moment   4.00 Bohr magnetons per cell
Space-group type   No. 221
DOS at the Fermi energy   6.87 states/eV/cell

a = 6.066 Å, b = 6.066 Å, c = 6.066 Å
α = 90.00°, β = 90.00°, γ = 90.00°
Last column: magnetic moment on the atom in μB.
Sites, in units of the cell vectors:
Sr 0.000 0.000 0.000  -0.01
Br 0.500 0.000 0.000  0.29
Br 0.000 0.500 0.000  0.28
N 0.500 0.500 0.500  1.94
Br 0.000 0.000 0.500  0.17



<ii>
VASP calculation (PBE-GGA) on a relaxed SrBr3N crystal.

## Properties
Size of the total moment   5.94 Bohr magnetons per cell
Space-group type   No. 2
DOS at the Fermi energy   2.41 states/eV/cell

a = 8.172 Å, b = 7.747 Å, c = 8.417 Å
α = 134.13°, β = 124.37°, γ = 62.12°
Last column: magnetic moment on the atom in μB.
Sites, in units of the cell vectors:
N 0.360 0.860 0.949  1.82
N 0.008 0.440 0.105  1.82
Br 0.968 0.964 0.583  0.10
Sr 0.043 0.569 0.636  0.01
Br 0.721 0.671 0.797  0.05
Sr 0.326 0.731 0.418  0.01
Br 0.647 0.629 0.258  0.05
Br 0.062 0.009 0.176  0.04
Br 0.400 0.336 0.471  0.10
Br 0.306 0.291 0.879  0.04



Here are the energies relative to the best structure, in meV/atom: <i> 128; <ii> 0.